A relaxed structure of Mn2CdHPt, computed with GGA-PBE.

Cell lengths 3.898, 3.898, 4.303 Å; angles 90.00, 90.00, 90.00 degrees
Sites, in units of the cell vectors:
Mn 0.000 0.500 0.000
Mn 0.500 0.000 0.000
Cd 0.000 0.000 0.500
H 0.000 0.000 0.000
Pt 0.500 0.500 0.500

Properties
E above lowest polymorph = 77 meV/atom
D(E_F) = 3.94 states/eV per cell